Run a
Material: GaTeS3
Method: DFT, GGA-PBE
State: relaxed

Unit cell a=4.692 b=4.692 c=4.692 alpha=90.00 beta=90.00 gamma=90.00
Fractional positions:
Ga (0.000, 0.000, 0.000)
Te (0.500, 0.500, 0.500)
S (0.000, 0.000, 0.500)
S (0.000, 0.500, 0.000)
S (0.500, 0.000, 0.000)

Summary:
* Fermi-level density of states: 3.31 states/eV/f.u.
* calculated density: 4719 kg/m3
* spin magnetization: 0.0 μB per formula unit
* crystal system: cubic

***

Run b
Material: GaTeS3
Method: DFT, GGA-PBE
State: relaxed

Unit cell a=7.053 b=11.825 c=7.088 alpha=90.00 beta=109.58 gamma=90.00
Fractional positions:
Ga (0.122, 0.235, 0.479)
Ga (0.122, 0.265, 0.979)
Ga (0.878, 0.735, 0.021)
Ga (0.878, 0.765, 0.521)
Te (0.285, 0.515, 0.721)
Te (0.285, 0.985, 0.221)
Te (0.715, 0.015, 0.779)
Te (0.715, 0.485, 0.279)
S (0.086, 0.746, 0.840)
S (0.086, 0.754, 0.340)
S (0.268, 0.049, 0.530)
S (0.268, 0.451, 0.030)
S (0.401, 0.149, 0.090)
S (0.401, 0.351, 0.590)
S (0.599, 0.649, 0.410)
S (0.599, 0.851, 0.910)
S (0.732, 0.549, 0.970)
S (0.732, 0.951, 0.470)
S (0.914, 0.246, 0.660)
S (0.914, 0.254, 0.160)

Summary:
* calculated density: 3501 kg/m3
* spin magnetization: 0.0 μB per formula unit
* crystal system: monoclinic

***

Verdict on stability: run b comes out on top.